A plane-wave DFT calculation with PBE was carried out for a relaxed Ce2NdY3Sb6 crystal.

a = 7.7160 Å, b = 7.7160 Å, c = 7.6964 Å
α = 99.62°, β = 99.62°, γ = 119.99°
Last column: magnetic moment on the atom in μB.
Fractional positions:
Ce: 0.3330 0.6670 0.0000  0.72
Ce: 0.6670 0.3330 0.0000  0.72
Nd: 0.0000 0.0000 0.0000  0.01
Y: 0.1659 0.8341 0.5000  0.00
Y: 0.8341 0.1659 0.5000  0.00
Y: 0.5000 0.5000 0.5000  0.00
Sb: 0.9144 0.5790 0.7436  -0.01
Sb: 0.7499 0.7499 0.2563  -0.01
Sb: 0.0856 0.4210 0.2564  -0.01
Sb: 0.5790 0.9144 0.7436  -0.01
Sb: 0.2501 0.2501 0.7437  -0.01
Sb: 0.4210 0.0856 0.2564  -0.01

Computed properties:
* formation energy without anion corrections: -1.1320 eV per atom

=====

A plane-wave DFT calculation with PBE was carried out for a relaxed CeNdSc crystal.

a = 3.4727 Å, b = 3.4727 Å, c = 8.5984 Å
α = 78.35°, β = 78.35°, γ = 60.00°
Last column: magnetic moment on the atom in μB.
Fractional positions:
Ce: 0.3325 0.3325 0.0024  0.34
Nd: 0.5493 0.5493 0.3520  -0.01
Sc: 0.1035 0.1035 0.6895  -0.01

Computed properties:
* E_form: 0.082 eV/atom

=====

A plane-wave DFT calculation with PBE was carried out for a relaxed CeNdSc crystal.

a = 3.4838 Å, b = 3.4838 Å, c = 7.6081 Å
α = 103.24°, β = 103.24°, γ = 90.00°
Fractional positions:
Sc: 0.6744 0.6744 0.3487
Nd: 0.9981 0.9981 0.9963
Ce: 0.3275 0.3275 0.6550

Computed properties:
* E_form: 0.097 eV/atom